[1]
Here is Li3PbN at its PBEsol-relaxed geometry from Alexandria. Energies are from meta-GGA SCAN.

D(E_F): 0.451 states/eV per atom
formation energy (no corrections): -0.187 eV per atom
energy: -18.6356 eV/atom

a b c (Å): 4.0897 4.0897 4.0897
angles (deg): 90.00 90.00 90.00
Sites, in units of the cell vectors:
Li 0.0000 0.5000 0.0000
Pb 0.5000 0.5000 0.5000
N 0.0000 0.0000 0.0000
Li 0.5000 0.0000 0.0000
Li 0.0000 0.0000 0.5000

[2]
Here is Li3PbN at its PBEsol-relaxed geometry from Alexandria. Energies are from meta-GGA SCAN.

D(E_F): 0.333 states/eV per atom
formation energy (no corrections): 0.909 eV per atom
energy: -17.5397 eV/atom

a b c (Å): 5.3167 5.3167 5.3167
angles (deg): 90.00 90.00 90.00
Sites, in units of the cell vectors:
Pb 0.0000 0.0000 0.0000
Li 0.0000 0.5000 0.0000
Li 0.5000 0.0000 0.0000
Li 0.0000 0.0000 0.5000
N 0.5000 0.5000 0.5000

[3]
Here is LiPd3N at its PBEsol-relaxed geometry from Alexandria. Energies are from meta-GGA SCAN.

D(E_F): 0.601 states/eV per atom
formation energy (no corrections): -0.072 eV per atom
energy: -22.0726 eV/atom

a b c (Å): 4.0553 4.0553 4.0553
angles (deg): 90.00 90.00 90.00
Sites, in units of the cell vectors:
Pd 0.0000 0.5000 0.0000
Pd 0.0000 0.0000 0.5000
Pd 0.5000 0.0000 0.0000
Li 0.5000 0.5000 0.5000
N 0.0000 0.0000 0.0000

[4]
Here is Li3PdN at its PBEsol-relaxed geometry from Alexandria. Energies are from meta-GGA SCAN.

D(E_F): 0.222 states/eV per atom
formation energy (no corrections): -0.150 eV per atom
energy: -9.9974 eV/atom

a b c (Å): 3.8263 3.8263 3.8263
angles (deg): 90.00 90.00 90.00
Sites, in units of the cell vectors:
Li 0.0000 0.0000 0.5000
Li 0.0000 0.5000 0.0000
Pd 0.5000 0.5000 0.5000
N 0.0000 0.0000 0.0000
Li 0.5000 0.0000 0.0000

[5]
Here is LiPd2N at its PBEsol-relaxed geometry from Alexandria. Energies are from meta-GGA SCAN.

D(E_F): 0.354 states/eV per atom
formation energy (no corrections): 0.221 eV per atom
energy: -19.0860 eV/atom

a b c (Å): 5.1704 5.1704 6.7729
angles (deg): 112.44 112.44 90.00
Sites, in units of the cell vectors:
Pd 0.1250 0.8750 0.7500
N 0.2500 0.7500 0.5000
Pd 0.6250 0.8750 0.7500
Li 0.7500 0.2500 0.5000
N 0.0000 0.0000 0.0000
Li 0.5000 0.5000 0.0000
Pd 0.1250 0.3750 0.2500
Pd 0.1250 0.8750 0.2500

[6]
Here is LiPdS2N at its PBEsol-relaxed geometry from Alexandria. Energies are from meta-GGA SCAN.

D(E_F): 0.712 states/eV per atom
formation energy (no corrections): 0.452 eV per atom
energy: -12.2899 eV/atom

a b c (Å): 3.6009 4.9230 4.9230
angles (deg): 90.00 90.00 90.00
Sites, in units of the cell vectors:
Li 0.5000 0.5000 0.5000
Pd 0.0000 0.0000 0.0000
S 0.0000 0.0000 0.5000
S 0.0000 0.5000 0.0000
N 0.5000 0.0000 0.0000

[7]
Here is LiTi2PdN at its PBEsol-relaxed geometry from Alexandria. Energies are from meta-GGA SCAN.

D(E_F): 1.034 states/eV per atom
formation energy (no corrections): 1.220 eV per atom
energy: -14.0835 eV/atom

a b c (Å): 4.2048 4.6369 4.6369
angles (deg): 90.00 90.00 90.00
Sites, in units of the cell vectors:
Ti 0.0000 0.5000 0.0000
Ti 0.0000 0.0000 0.5000
Li 0.5000 0.0000 0.0000
N 0.5000 0.5000 0.5000
Pd 0.0000 0.0000 0.0000

[8]
Here is Li3PtN at its PBEsol-relaxed geometry from Alexandria. Energies are from meta-GGA SCAN.

D(E_F): 0.402 states/eV per atom
formation energy (no corrections): 0.004 eV per atom
energy: -17.3267 eV/atom

a b c (Å): 3.8125 3.8125 3.8125
angles (deg): 90.00 90.00 90.00
Sites, in units of the cell vectors:
Li 0.5000 0.0000 0.0000
Li 0.0000 0.0000 0.5000
N 0.0000 0.0000 0.0000
Pt 0.5000 0.5000 0.5000
Li 0.0000 0.5000 0.0000

[9]
Here is LiPtSe2N at its PBEsol-relaxed geometry from Alexandria. Energies are from meta-GGA SCAN.

D(E_F): 0.703 states/eV per atom
formation energy (no corrections): 0.148 eV per atom
energy: -24.2579 eV/atom

a b c (Å): 3.5979 5.2525 5.2525
angles (deg): 90.00 90.00 90.00
Sites, in units of the cell vectors:
Pt 0.0000 0.0000 0.0000
N 0.5000 0.0000 0.0000
Li 0.5000 0.5000 0.5000
Se 0.0000 0.5000 0.0000
Se 0.0000 0.0000 0.5000

[10]
Here is LiReN2 at its PBEsol-relaxed geometry from Alexandria. Energies are from meta-GGA SCAN.

D(E_F): 0.537 states/eV per atom
formation energy (no corrections): -0.271 eV per atom
energy: -23.2880 eV/atom

a b c (Å): 4.6028 4.6028 5.6608
angles (deg): 113.99 113.99 90.00
Sites, in units of the cell vectors:
Re 0.2500 0.7500 0.5000
N 0.9202 0.3750 0.2500
Li 0.7500 0.2500 0.5000
Li 0.5000 0.5000 0.0000
N 0.1250 0.0798 0.7500
N 0.6250 0.6702 0.7500
Re 0.0000 0.0000 0.0000
N 0.3298 0.8750 0.2500

[11]
Here is LiReN3 at its PBEsol-relaxed geometry from Alexandria. Energies are from meta-GGA SCAN.

D(E_F): 0.410 states/eV per atom
formation energy (no corrections): 0.271 eV per atom
energy: -20.0011 eV/atom

a b c (Å): 3.8663 3.8663 3.8663
angles (deg): 90.00 90.00 90.00
Sites, in units of the cell vectors:
N 0.0000 0.0000 0.5000
N 0.5000 0.0000 0.0000
Re 0.0000 0.0000 0.0000
Li 0.5000 0.5000 0.5000
N 0.0000 0.5000 0.0000

[12]
Here is LiReN2 at its PBEsol-relaxed geometry from Alexandria. Energies are from meta-GGA SCAN.

D(E_F): 0.304 states/eV per atom
formation energy (no corrections): -0.256 eV per atom
energy: -23.2737 eV/atom

a b c (Å): 5.5136 5.5089 6.4354
angles (deg): 90.00 90.00 90.00
Sites, in units of the cell vectors:
Li 0.5063 0.9099 0.8753
N 0.3518 0.0525 0.6019
Re 0.5137 0.9365 0.3652
Li 0.5063 0.4099 0.6247
N 0.8983 0.8950 0.8681
N 0.8518 0.4475 0.1019
Re 0.0137 0.0635 0.6348
Re 0.5137 0.4365 0.1348
N 0.3983 0.6050 0.3681
N 0.8983 0.3950 0.6319
N 0.8518 0.9475 0.3981
Li 0.0063 0.0901 0.1247
Li 0.0063 0.5901 0.3753
Re 0.0137 0.5635 0.8652
N 0.3518 0.5525 0.8981
N 0.3983 0.1050 0.1319

[13]
Here is LiReN2 at its PBEsol-relaxed geometry from Alexandria. Energies are from meta-GGA SCAN.

D(E_F): 0.284 states/eV per atom
formation energy (no corrections): -0.023 eV per atom
energy: -23.0405 eV/atom

a b c (Å): 2.9275 2.9275 6.2744
angles (deg): 76.51 76.51 60.00
Sites, in units of the cell vectors:
Re 0.5000 0.5000 0.5000
N 0.1019 0.1019 0.6943
Li 0.0000 0.0000 0.0000
N 0.8981 0.8981 0.3057

[14]
Here is LiRhSe2N at its PBEsol-relaxed geometry from Alexandria. Energies are from meta-GGA SCAN.

D(E_F): 0.700 states/eV per atom
formation energy (no corrections): 0.071 eV per atom
energy: -17.0508 eV/atom

a b c (Å): 3.5572 5.1336 5.1336
angles (deg): 90.00 90.00 90.00
Sites, in units of the cell vectors:
Se 0.0000 0.0000 0.5000
Se 0.0000 0.5000 0.0000
N 0.5000 0.0000 0.0000
Rh 0.0000 0.0000 0.0000
Li 0.5000 0.5000 0.5000

[15]
Here is LiRhSeN2 at its PBEsol-relaxed geometry from Alexandria. Energies are from meta-GGA SCAN.

D(E_F): 0.624 states/eV per atom
formation energy (no corrections): 0.555 eV per atom
energy: -14.4093 eV/atom

a b c (Å): 3.7195 3.7195 5.3743
angles (deg): 90.00 90.00 90.00
Sites, in units of the cell vectors:
Se 0.0000 0.0000 0.5000
N 0.0000 0.5000 0.0000
Rh 0.0000 0.0000 0.0000
Li 0.5000 0.5000 0.5000
N 0.5000 0.0000 0.0000

[16]
Here is LiRhSeN2 at its PBEsol-relaxed geometry from Alexandria. Energies are from meta-GGA SCAN.

D(E_F): 0.716 states/eV per atom
formation energy (no corrections): 1.692 eV per atom
energy: -13.2726 eV/atom

a b c (Å): 3.6179 3.6179 4.3640
angles (deg): 90.00 90.00 90.00
Sites, in units of the cell vectors:
N 0.5000 0.0000 0.0000
Rh 0.5000 0.5000 0.5000
Se 0.0000 0.0000 0.5000
N 0.0000 0.5000 0.0000
Li 0.0000 0.0000 0.0000

[17]
Here is LiTe2RhN at its PBEsol-relaxed geometry from Alexandria. Energies are from meta-GGA SCAN.

D(E_F): 0.553 states/eV per atom
formation energy (no corrections): 0.837 eV per atom
energy: -23.1537 eV/atom

a b c (Å): 3.3116 4.9363 4.9363
angles (deg): 90.00 90.00 90.00
Sites, in units of the cell vectors:
Rh 0.5000 0.5000 0.5000
N 0.5000 0.0000 0.0000
Li 0.0000 0.0000 0.0000
Te 0.0000 0.5000 0.0000
Te 0.0000 0.0000 0.5000

[18]
Here is Li6RuN4 at its PBEsol-relaxed geometry from Alexandria. Energies are from meta-GGA SCAN.

D(E_F): 0.073 states/eV per atom
formation energy (no corrections): -0.533 eV per atom
energy: -8.3809 eV/atom

a b c (Å): 4.8568 6.5795 6.5795
angles (deg): 90.00 90.00 90.00
Sites, in units of the cell vectors:
Li 0.4037 0.5000 0.0000
Li 0.5000 0.2135 0.2135
N 0.6907 0.5000 0.7459
N 0.8093 0.0000 0.2459
Ru 0.0000 0.0000 0.0000
Li 0.0000 0.7135 0.7135
Li 0.0000 0.2865 0.7135
Li 0.5000 0.7865 0.2135
Ru 0.5000 0.5000 0.5000
Li 0.9037 0.5000 0.0000
Li 0.0963 0.0000 0.5000
Li 0.0000 0.2865 0.2865
N 0.1907 0.2459 0.0000
Li 0.0000 0.7135 0.2865
N 0.6907 0.5000 0.2541
N 0.1907 0.7541 0.0000
N 0.8093 0.0000 0.7541
Li 0.5000 0.7865 0.7865
N 0.3093 0.2541 0.5000
Li 0.5963 0.0000 0.5000
Li 0.5000 0.2135 0.7865
N 0.3093 0.7459 0.5000

[19]
Here is LiRuN2 at its PBEsol-relaxed geometry from Alexandria. Energies are from meta-GGA SCAN.

D(E_F): 0.261 states/eV per atom
formation energy (no corrections): 0.740 eV per atom
energy: -13.2099 eV/atom

a b c (Å): 2.7985 2.7985 6.6266
angles (deg): 77.81 77.81 60.00
Sites, in units of the cell vectors:
N 0.0923 0.0923 0.7230
Li 0.5000 0.5000 0.5000
Ru 0.0000 0.0000 0.0000
N 0.9077 0.9077 0.2770

[20]
Here is Li2SN at its PBEsol-relaxed geometry from Alexandria. Energies are from meta-GGA SCAN.

D(E_F): 0.231 states/eV per atom
formation energy (no corrections): 0.057 eV per atom
energy: -5.8681 eV/atom

a b c (Å): 3.5306 3.5306 7.4463
angles (deg): 103.71 103.71 90.00
Sites, in units of the cell vectors:
Li 0.4319 0.8750 0.2500
S 0.2500 0.7500 0.5000
Li 0.6250 0.5681 0.7500
N 0.7500 0.2500 0.5000
Li 0.8181 0.3750 0.2500
Li 0.1250 0.1819 0.7500
N 0.5000 0.5000 0.0000
S 0.0000 0.0000 0.0000

[21]
Here is LiS2N2 at its PBEsol-relaxed geometry from Alexandria. Energies are from meta-GGA SCAN.

D(E_F): 0.476 states/eV per atom
formation energy (no corrections): 1.055 eV per atom
energy: -6.9904 eV/atom

a b c (Å): 3.3871 3.3871 4.9492
angles (deg): 90.00 90.00 90.00
Sites, in units of the cell vectors:
N 0.5000 0.0000 0.0000
N 0.0000 0.5000 0.0000
S 0.0000 0.0000 0.0000
S 0.0000 0.0000 0.5000
Li 0.5000 0.5000 0.5000

[22]
Here is LiSN2 at its PBEsol-relaxed geometry from Alexandria. Energies are from meta-GGA SCAN.

D(E_F): 0.101 states/eV per atom
formation energy (no corrections): 0.487 eV per atom
energy: -7.1627 eV/atom

a b c (Å): 4.4687 4.4687 5.1734
angles (deg): 115.59 115.59 90.00
Sites, in units of the cell vectors:
N 0.6250 0.6946 0.7500
N 0.9446 0.3750 0.2500
N 0.3054 0.8750 0.2500
N 0.1250 0.0554 0.7500
S 0.0000 0.0000 0.0000
S 0.2500 0.7500 0.5000
Li 0.7500 0.2500 0.5000
Li 0.5000 0.5000 0.0000

[23]
Here is LiSiS2N at its PBEsol-relaxed geometry from Alexandria. Energies are from meta-GGA SCAN.

D(E_F): 0.634 states/eV per atom
formation energy (no corrections): -0.110 eV per atom
energy: -8.3003 eV/atom

a b c (Å): 3.2257 4.8855 4.8855
angles (deg): 90.00 90.00 90.00
Sites, in units of the cell vectors:
N 0.5000 0.0000 0.0000
Si 0.0000 0.0000 0.0000
S 0.0000 0.5000 0.0000
Li 0.5000 0.5000 0.5000
S 0.0000 0.0000 0.5000

[24]
Here is Li3SbN at its PBEsol-relaxed geometry from Alexandria. Energies are from meta-GGA SCAN.

D(E_F): 0.360 states/eV per atom
formation energy (no corrections): -0.157 eV per atom
energy: -10.9009 eV/atom

a b c (Å): 4.0468 4.0468 4.0468
angles (deg): 90.00 90.00 90.00
Sites, in units of the cell vectors:
Li 0.5000 0.0000 0.0000
Sb 0.5000 0.5000 0.5000
N 0.0000 0.0000 0.0000
Li 0.0000 0.5000 0.0000
Li 0.0000 0.0000 0.5000

[25]
Here is Li2SbN at its PBEsol-relaxed geometry from Alexandria. Energies are from meta-GGA SCAN.

D(E_F): 0.459 states/eV per atom
formation energy (no corrections): 0.521 eV per atom
energy: -12.3124 eV/atom

a b c (Å): 4.2777 4.2777 4.2777
angles (deg): 60.00 60.00 60.00
Sites, in units of the cell vectors:
Li 0.2500 0.2500 0.2500
N 0.0000 0.0000 0.0000
Sb 0.5000 0.5000 0.5000
Li 0.7500 0.7500 0.7500

[26]
Here is LiScN2 at its PBEsol-relaxed geometry from Alexandria. Energies are from meta-GGA SCAN.

D(E_F): 0.554 states/eV per atom
formation energy (no corrections): 0.796 eV per atom
energy: -8.0065 eV/atom

a b c (Å): 3.4185 3.4185 5.7090
angles (deg): 72.58 72.58 60.00
Sites, in units of the cell vectors:
N 0.1170 0.1170 0.6491
Sc 0.0000 0.0000 0.0000
Li 0.5000 0.5000 0.5000
N 0.8830 0.8830 0.3509

[27]
Here is LiScN3 at its PBEsol-relaxed geometry from Alexandria. Energies are from meta-GGA SCAN.

D(E_F): 0.463 states/eV per atom
formation energy (no corrections): 0.747 eV per atom
energy: -8.1529 eV/atom

a b c (Å): 4.1152 4.1152 4.1152
angles (deg): 90.00 90.00 90.00
Sites, in units of the cell vectors:
Li 0.5000 0.5000 0.5000
N 0.0000 0.5000 0.0000
N 0.5000 0.0000 0.0000
N 0.0000 0.0000 0.5000
Sc 0.0000 0.0000 0.0000